Entry 1:
# PtBrCl2 (SCAN, PBEsol geometry)
data_PtBrCl2
_chemical_formula_sum 'Pt1 Br1 Cl2'
_symmetry_space_group_name_H-M 'P 1'
_symmetry_Int_Tables_number 1
_symmetry_space_group_name_Hall 'P 1'
_cell_length_a 4.7023
_cell_length_b 4.7023
_cell_length_c 4.7023
_cell_angle_alpha 60.00
_cell_angle_beta 60.00
_cell_angle_gamma 60.00
loop_
_atom_site_label
_atom_site_type_symbol
_atom_site_fract_x
_atom_site_fract_y
_atom_site_fract_z
_atom_site_occupancy
Pt1 Pt 0.0000 0.0000 0.0000 1
Br1 Br 0.5000 0.5000 0.5000 1
Cl1 Cl 0.2500 0.2500 0.2500 1
Cl2 Cl 0.7500 0.7500 0.7500 1
# **Spin magnetization**: 0.00 μB/f.u.
# **Energy relative to the elements, uncorrected**: 378.6 kJ/mol of formula units



Entry 2:
# LiCr2Ni (SCAN, PBEsol geometry)
data_LiCr2Ni
_chemical_formula_sum 'Li1 Cr2 Ni1'
_symmetry_space_group_name_H-M 'P 1'
_symmetry_Int_Tables_number 1
_symmetry_space_group_name_Hall 'P 1'
_cell_length_a 4.0182
_cell_length_b 4.0182
_cell_length_c 2.8825
_cell_angle_alpha 90.00
_cell_angle_beta 90.00
_cell_angle_gamma 90.00
loop_
_atom_site_label
_atom_site_type_symbol
_atom_site_fract_x
_atom_site_fract_y
_atom_site_fract_z
_atom_site_occupancy
Li1 Li 0.0000 0.0000 0.0000 1
Cr1 Cr 0.0000 0.5000 0.5000 1
Cr2 Cr 0.5000 0.0000 0.5000 1
Ni1 Ni 0.5000 0.5000 0.0000 1
# **Spin magnetization**: 6.76 μB/f.u.
# **DFT formation energy**: 0.3855 eV/atom